Entry i
The following is a PBE calculation of an optimized crystal structure of Ac3AlAg2, from Alexandria.

```
Ac3AlAg2
1.0
-0.649 2.725 -2.800
0.754 -2.698 -2.800
-11.506 -2.975 -0.230
Al Ag Ac
1 2 3
direct
0.500 0.500 0.500 Al
0.500 0.500 0.167 Ag
0.500 0.500 0.833 Ag
0.000 0.000 0.000 Ac
0.000 0.000 0.337 Ac
0.000 0.000 0.663 Ac
```

Summary:
- mass density (Mg/m³) = 8.23
- crystal system = tetragonal
- total moment (μB/atom) = 0.00

---

Entry ii
The following is a PBE calculation of an optimized crystal structure of Ac3AlAg2, from Alexandria.

```
Ac3AlAg2
1.0
5.613 0.000 0.000
-2.807 4.861 0.000
0.000 0.000 13.765
Ag Ac Al
4 6 2
direct
0.000 0.000 0.500 Ag
0.667 0.333 0.831 Ag
0.333 0.667 0.169 Ag
0.000 0.000 0.000 Ag
0.333 0.667 0.917 Ac
0.667 0.333 0.582 Ac
0.333 0.667 0.418 Ac
0.667 0.333 0.083 Ac
0.000 0.000 0.249 Ac
0.000 0.000 0.751 Ac
0.667 0.333 0.332 Al
0.333 0.667 0.668 Al
```

Summary:
- mass density (Mg/m³) = 8.17
- crystal system = trigonal
- total moment (μB/atom) = 0.00

---

Energetically preferred structure: entry i | next structure: +10 meV per atom

---

Entry i
The following is a PBE calculation of an optimized crystal structure of Ac2Al5Ag3, from Alexandria.

```
Ac2Al5Ag3
1.0
4.464 0.000 0.000
0.000 4.464 0.000
0.000 0.000 11.496
Al Ag Ac
5 3 2
direct
0.500 0.500 0.000 Al
0.000 0.500 0.131 Al
0.500 0.500 0.500 Al
0.000 0.000 0.000 Al
0.500 0.000 0.869 Al
0.500 0.000 0.642 Ag
0.000 0.500 0.358 Ag
0.000 0.000 0.500 Ag
0.500 0.000 0.243 Ac
0.000 0.500 0.757 Ac
```

Summary:
- mass density (Mg/m³) = 6.61
- crystal system = tetragonal
- total moment (μB/atom) = 0.00

---

Entry ii
The following is a PBE calculation of an optimized crystal structure of Ac2Al5Ag3, from Alexandria.

```
Ac2Al5Ag3
1.0
-2.233 -1.072 5.908
-8.778 -2.142 -0.228
2.002 -8.386 2.715
Al Ac Ag
10 4 6
direct
0.864 0.257 0.015 Al
0.250 0.500 0.500 Al
0.750 0.245 0.755 Al
0.750 0.500 0.500 Al
0.250 0.245 0.755 Al
0.250 0.755 0.245 Al
0.636 0.985 0.743 Al
0.750 0.755 0.245 Al
0.136 0.743 0.985 Al
0.364 0.015 0.257 Al
0.245 0.382 0.127 Ac
0.745 0.127 0.382 Ac
0.755 0.618 0.873 Ac
0.255 0.873 0.618 Ac
0.375 0.498 0.751 Ag
0.875 0.751 0.498 Ag
0.250 0.000 0.000 Ag
0.750 0.000 0.000 Ag
0.125 0.249 0.502 Ag
0.625 0.502 0.249 Ag
```

Summary:
- mass density (Mg/m³) = 6.70
- crystal system = orthorhombic
- total moment (μB/atom) = 0.00

---

Energetically preferred structure: entry ii | next structure: +64 meV per atom